Here is a geometry-optimized Ce4SbO5 structure from Alexandria. Energies are from PBE-GGA.

Computed properties:
Uncorrected formation energy = -2.675 eV per atom

Structure (POSCAR):
```
Ce4SbO5
1.0
-5.5002 -1.0695 1.1042
-0.9150 -2.3830 -6.8661
2.6226 -10.1948 3.1888
Ce O Sb
8 10 2
direct
0.8231 0.7718 0.0000 Ce
0.5025 0.0000 0.7227 Ce
0.4975 0.5000 0.7773 Ce
0.1769 0.7282 0.5000 Ce
0.4975 0.5000 0.2227 Ce
0.5025 0.0000 0.2773 Ce
0.8231 0.2282 0.0000 Ce
0.1769 0.2718 0.5000 Ce
0.7150 0.7679 0.1908 O
0.6518 0.5000 0.0000 O
0.2850 0.2679 0.3092 O
0.7150 0.2321 0.8092 O
0.7150 0.2321 0.1908 O
0.2850 0.7321 0.3092 O
0.2850 0.2679 0.6908 O
0.3482 0.0000 0.5000 O
0.7150 0.7679 0.8092 O
0.2850 0.7321 0.6908 O
0.6797 0.5000 0.5000 Sb
0.3203 0.0000 0.0000 Sb
```

---

Here is a geometry-optimized CsNaHoSe2 structure from Alexandria. Energies are from PBE-GGA.

Computed properties:
Uncorrected formation energy = -1.154 eV per atom

Structure (POSCAR):
```
CsNaHoSe2
1.0
7.0065 0.0000 0.0000
0.0000 7.4537 0.0000
0.0000 -3.7268 8.0051
Ho Cs Se Na
2 2 4 2
direct
0.5000 0.2500 0.0000 Ho
0.5000 0.7500 0.0000 Ho
0.7417 0.2500 0.5000 Cs
0.2583 0.7500 0.5000 Cs
0.6700 0.6043 0.2087 Se
0.3300 0.1043 0.2087 Se
0.3300 0.3957 0.7913 Se
0.6700 0.8957 0.7913 Se
0.0000 0.0000 0.0000 Na
0.0000 0.5000 0.0000 Na
```

---

Here is a geometry-optimized LiZrFeI2 structure from Alexandria. Energies are from PBE-GGA.

Computed properties:
Uncorrected formation energy = 0.833 eV per atom

Structure (POSCAR):
```
LiZrFeI2
1.0
-2.0654 -0.1557 -4.5574
4.7136 -0.4095 -2.1222
-0.2962 -4.9879 0.3046
Zr I Li Fe
1 2 1 1
direct
0.0000 0.5000 0.0000 Zr
0.0000 0.0000 0.5000 I
0.5000 0.0000 0.0000 I
0.0000 0.0000 0.0000 Li
0.5000 0.5000 0.5000 Fe
```

---

Here is a geometry-optimized LiTc4As structure from Alexandria. Energies are from PBE-GGA.

Computed properties:
ΔE_f = 0.500 eV per atom

Structure (POSCAR):
```
LiTc4As
1.0
0.6470 -5.0591 0.6445
-2.5944 -2.4743 3.6844
-3.7751 -3.2550 -1.2577
Tc As Li
4 1 1
direct
0.3753 0.8740 0.3753 Tc
0.8740 0.3753 0.3753 Tc
0.3753 0.3753 0.3753 Tc
0.3753 0.3753 0.8740 Tc
0.7500 0.7500 0.7500 As
0.0000 0.0000 0.0000 Li
```